A PBEsol-optimized structure of BaLaSb. Source: Alexandria via LeMat-Bulk, functional SCAN.

Structure (POSCAR):
```
BaLaSb
1.0
5.234 0.000 0.000
-2.617 4.533 0.000
0.000 0.000 4.568
Ba La Sb
1 1 1
Cartesian
0.000 0.000 0.000
0.000 3.022 1.977
2.617 1.511 2.773
```

Summary:
**VASP energy**: -40.63 eV/atom
**Symmetry**: P3m1
**Total magnetization**: 0.00 μB per cell
**N(E_F)**: 0.6441 states/eV/atom

***

A PBEsol-optimized structure of Ba2LaSb. Source: Alexandria via LeMat-Bulk, functional SCAN.

Structure (POSCAR):
```
Ba2LaSb
1.0
2.283 1.318 10.750
-2.283 1.318 10.750
0.000 -2.636 10.750
Ba La Sb
2 1 1
Cartesian
0.000 0.000 7.379
0.000 0.000 24.871
0.000 0.000 0.000
0.000 0.000 16.125
```

Summary:
**VASP energy**: -40.15 eV/atom
**Symmetry**: R-3m
**Total magnetization**: 2.39 μB per cell
**N(E_F)**: 1.4480 states/eV/atom

***

A PBEsol-optimized structure of BaLaSb2. Source: Alexandria via LeMat-Bulk, functional SCAN.

Structure (POSCAR):
```
BaLaSb2
1.0
5.522 0.000 0.000
0.000 5.522 0.000
0.000 0.000 4.252
Ba La Sb
1 1 2
Cartesian
0.000 0.000 0.000
2.761 2.761 0.000
0.000 2.761 2.126
2.761 0.000 2.126
```

Summary:
**VASP energy**: -40.26 eV/atom
**Symmetry**: P4/mmm
**Total magnetization**: 0.00 μB per cell
**N(E_F)**: 0.6458 states/eV/atom

***

A PBEsol-optimized structure of BaLaSc2. Source: Alexandria via LeMat-Bulk, functional SCAN.

Structure (POSCAR):
```
BaLaSc2
1.0
-1.851 2.895 5.823
1.851 -2.895 5.823
1.851 2.895 -5.823
Ba La Sc
1 1 2
Cartesian
0.000 0.000 0.000
0.000 0.000 5.823
1.851 0.000 3.036
0.000 2.895 2.787
```

Summary:
**ΔE_f**: 410 meV/atom
**VASP energy**: -27.37 eV/atom
**Symmetry**: Immm
**Total magnetization**: 0.00 μB per cell
**E above lowest polymorph**: 126.8 meV/atom
**N(E_F)**: 1.8119 states/eV/atom